# ZnAg2Pd

A geometry-optimized ZnAg2Pd structure (PBE-GGA, Alexandria).

a b c (Å): 2.8090 2.8090 10.1381
angles (deg): 82.04 82.04 60.00
Closest atoms and distances in Å follow each position.
Element x y z (fractional)
Zn (0.5000, 0.5000, 0.5000)  6 Ag 2.81, 6 Zn 2.81
Ag (0.9097, 0.9097, 0.2710)  1 Pd 2.71, 3 Zn 2.81, 6 Ag 2.81
Ag (0.0903, 0.0903, 0.7290)  1 Pd 2.71, 3 Zn 2.81, 6 Ag 2.81
Pd (0.0000, 0.0000, 0.0000)  2 Ag 2.71, 6 Pd 2.81

Properties
Theoretical density ... 9.4 g/cm3
Magnetic moment ... 0.000 μB per atom
Calculated formation energy ... 0.110 eV per atom

# TaTi2Mo

A geometry-optimized TaTi2Mo structure (PBE-GGA, Alexandria).

a b c (Å): 4.6287 6.8706 8.5003
angles (deg): 85.98 90.00 90.00
Closest atoms and distances in Å follow each position.
Element x y z (fractional)
Ti (0.2501, 0.0378, 0.4166)  3 Ti 2.74-2.83, 2 Mo 2.77-2.88, 4 Ta 2.79-3.03
Ti (0.7502, 0.3586, 0.4676)  3 Mo 2.64-2.88, 4 Ta 2.80-2.89, 1 Ti 2.83
Ti (0.2499, 0.5378, 0.9166)  3 Ti 2.74-2.83, 2 Mo 2.77-2.88, 4 Ta 2.79-3.03
Ti (0.7501, 0.4622, 0.0834)  3 Ti 2.74-2.83, 2 Mo 2.77-2.88, 4 Ta 2.79-3.03
Ti (0.2502, 0.1414, 0.0324)  3 Mo 2.64-2.88, 4 Ta 2.80-2.89, 1 Ti 2.83
Ti (0.7499, 0.9622, 0.5834)  3 Ti 2.74-2.83, 2 Mo 2.77-2.88, 4 Ta 2.79-3.03
Ti (0.2498, 0.6414, 0.5324)  3 Mo 2.64-2.88, 4 Ta 2.80-2.89, 1 Ti 2.83
Ti (0.7498, 0.8586, 0.9676)  3 Mo 2.64-2.88, 4 Ta 2.80-2.89, 1 Ti 2.83
Ta (0.2502, 0.4110, 0.2650)  1 Mo 2.63, 7 Ti 2.79-2.89
Ta (0.7498, 0.5890, 0.7350)  1 Mo 2.63, 7 Ti 2.79-2.89
Ta (0.7502, 0.0890, 0.2350)  1 Mo 2.63, 7 Ti 2.79-2.89
Ta (0.2498, 0.9110, 0.7650)  1 Mo 2.63, 7 Ti 2.79-2.89
Mo (0.7501, 0.7193, 0.3368)  1 Ta 2.63, 5 Ti 2.64-2.88, 2 Mo 2.76
Mo (0.7499, 0.2193, 0.8368)  1 Ta 2.63, 5 Ti 2.64-2.88, 2 Mo 2.76
Mo (0.2501, 0.7807, 0.1632)  1 Ta 2.63, 5 Ti 2.64-2.88, 2 Mo 2.76
Mo (0.2499, 0.2807, 0.6632)  1 Ta 2.63, 5 Ti 2.64-2.88, 2 Mo 2.76

Properties
Theoretical density ... 9.2 g/cm3
Magnetic moment ... 0.000 μB per atom
Excess energy over the best structure of this formula in the dataset ... 7.26 kJ/mol of atoms
Calculated formation energy ... -0.018 eV per atom

Going through the records in order, we get calculated volume values of 68.4, 67.4 Å³/f.u..